one | ## SmScTe2 (PBE-GGA)

Data for SmScTe2 after structural relaxation.

D(E_F) ... 7.788 states/eV/cell

a = 4.282 Å, b = 4.282 Å, c = 21.331 Å
α = 90.00°, β = 90.00°, γ = 120.00°
Fractional coordinates of all 12 atoms:
1 Sm 0.000 0.000 0.000
2 Sm 0.333 0.667 0.667
3 Sm 0.667 0.333 0.333
4 Sc 0.000 0.000 0.500
5 Sc 0.333 0.667 0.167
6 Sc 0.667 0.333 0.833
7 Te 0.000 0.000 0.243
8 Te 0.000 0.000 0.757
9 Te 0.333 0.667 0.424
10 Te 0.333 0.667 0.909
11 Te 0.667 0.333 0.091
12 Te 0.667 0.333 0.576


two | ## SmScTe2 (PBE-GGA)

Data for SmScTe2 after structural relaxation.

D(E_F) ... 2.426 states/eV/cell

a = 5.300 Å, b = 5.300 Å, c = 3.763 Å
α = 90.00°, β = 90.00°, γ = 90.00°
Fractional coordinates of all 4 atoms:
1 Sm 0.000 0.000 0.000
2 Sc 0.500 0.500 0.000
3 Te 0.000 0.500 0.500
4 Te 0.500 0.000 0.500


The least stable of them is two.


one | ## SmScTe2 (PBE-GGA)

Data for SmScTe2 after structural relaxation.

D(E_F) ... 2.694 states/eV/cell

a = 4.186 Å, b = 4.186 Å, c = 7.495 Å
α = 90.00°, β = 90.00°, γ = 120.00°
Fractional coordinates of all 4 atoms:
1 Sm 0.000 0.000 0.000
2 Sc 0.000 0.000 0.500
3 Te 0.333 0.667 0.729
4 Te 0.667 0.333 0.271


two | ## SmScTe2 (PBE-GGA)

Data for SmScTe2 after structural relaxation.

D(E_F) ... 6.231 states/eV/cell

a = 7.512 Å, b = 7.512 Å, c = 7.512 Å
α = 90.00°, β = 90.00°, γ = 90.00°
Fractional coordinates of all 16 atoms:
1 Sm 0.000 0.000 0.000
2 Sm 0.000 0.500 0.500
3 Sm 0.500 0.000 0.500
4 Sm 0.500 0.500 0.000
5 Sc 0.000 0.000 0.500
6 Sc 0.000 0.500 0.000
7 Sc 0.500 0.000 0.000
8 Sc 0.500 0.500 0.500
9 Te 0.250 0.250 0.250
10 Te 0.250 0.250 0.750
11 Te 0.250 0.750 0.250
12 Te 0.250 0.750 0.750
13 Te 0.750 0.250 0.250
14 Te 0.750 0.250 0.750
15 Te 0.750 0.750 0.250
16 Te 0.750 0.750 0.750


The least stable of them is two.


one | ## Sm2ScTe4 (PBE-GGA)

Data for Sm2ScTe4 after structural relaxation.

D(E_F) ... 7.092 states/eV/cell

a = 15.980 Å, b = 4.333 Å, c = 7.670 Å
α = 90.00°, β = 118.48°, γ = 90.00°
Fractional coordinates of all 14 atoms:
1 Sm 0.241 0.000 0.229
2 Sm 0.259 0.500 0.771
3 Sm 0.741 0.500 0.229
4 Sm 0.759 0.000 0.771
5 Sc 0.000 0.500 0.500
6 Sc 0.500 0.000 0.500
7 Te 0.112 0.500 0.933
8 Te 0.120 0.000 0.463
9 Te 0.380 0.500 0.537
10 Te 0.388 0.000 0.067
11 Te 0.612 0.000 0.933
12 Te 0.620 0.500 0.463
13 Te 0.880 0.000 0.537
14 Te 0.888 0.500 0.067


two | ## Sm2ScTe4 (PBE-GGA)

Data for Sm2ScTe4 after structural relaxation.

D(E_F) ... 6.423 states/eV/cell

a = 7.568 Å, b = 7.568 Å, c = 15.002 Å
α = 90.00°, β = 90.00°, γ = 147.93°
Fractional coordinates of all 14 atoms:
1 Sm 0.132 0.868 0.575
2 Sm 0.132 0.868 0.925
3 Sm 0.868 0.132 0.075
4 Sm 0.868 0.132 0.425
5 Sc 0.367 0.633 0.750
6 Sc 0.633 0.367 0.250
7 Te 0.015 0.985 0.750
8 Te 0.215 0.785 0.126
9 Te 0.215 0.785 0.374
10 Te 0.500 0.500 0.000
11 Te 0.500 0.500 0.500
12 Te 0.785 0.215 0.626
13 Te 0.785 0.215 0.874
14 Te 0.985 0.015 0.250


The least stable of them is two.


one | ## SmSc2Te4 (PBE-GGA)

Data for SmSc2Te4 after structural relaxation.

D(E_F) ... 7.177 states/eV/cell

a = 16.170 Å, b = 4.218 Å, c = 7.287 Å
α = 90.00°, β = 116.43°, γ = 90.00°
Fractional coordinates of all 14 atoms:
1 Sm 0.000 0.000 0.000
2 Sm 0.500 0.500 0.000
3 Sc 0.248 0.500 0.730
4 Sc 0.252 0.000 0.270
5 Sc 0.748 0.000 0.730
6 Sc 0.752 0.500 0.270
7 Te 0.129 0.000 0.470
8 Te 0.137 0.500 0.969
9 Te 0.363 0.000 0.031
10 Te 0.371 0.500 0.530
11 Te 0.629 0.500 0.470
12 Te 0.637 0.000 0.969
13 Te 0.863 0.500 0.031
14 Te 0.871 0.000 0.530


two | ## SmSc2Te4 (PBE-GGA)

Data for SmSc2Te4 after structural relaxation.

D(E_F) ... 6.547 states/eV/cell

a = 7.185 Å, b = 7.185 Å, c = 14.484 Å
α = 90.00°, β = 90.00°, γ = 146.12°
Fractional coordinates of all 14 atoms:
1 Sm 0.125 0.875 0.750
2 Sm 0.875 0.125 0.250
3 Sc 0.371 0.629 0.566
4 Sc 0.371 0.629 0.934
5 Sc 0.629 0.371 0.066
6 Sc 0.629 0.371 0.434
7 Te 0.000 0.000 0.000
8 Te 0.000 0.000 0.500
9 Te 0.273 0.727 0.116
10 Te 0.273 0.727 0.384
11 Te 0.455 0.545 0.750
12 Te 0.545 0.455 0.250
13 Te 0.727 0.273 0.616
14 Te 0.727 0.273 0.884


The least stable of them is two.


one | ## SmThSc2 (PBE-GGA)

Data for SmThSc2 after structural relaxation.

D(E_F) ... 5.137 states/eV/cell

a = 4.982 Å, b = 4.982 Å, c = 4.583 Å
α = 90.00°, β = 90.00°, γ = 90.00°
Fractional coordinates of all 4 atoms:
1 Sm 0.000 0.000 0.000
2 Th 0.500 0.500 0.000
3 Sc 0.000 0.500 0.500
4 Sc 0.500 0.000 0.500


two | ## SmThSc2 (PBE-GGA)

Data for SmThSc2 after structural relaxation.

D(E_F) ... 9.382 states/eV/cell

a = 7.047 Å, b = 9.146 Å, c = 3.526 Å
α = 90.00°, β = 90.00°, γ = 90.00°
Fractional coordinates of all 8 atoms:
1 Sm 0.000 0.000 0.000
2 Sm 0.500 0.500 0.000
3 Th 0.000 0.500 0.000
4 Th 0.500 0.000 0.000
5 Sc 0.250 0.250 0.500
6 Sc 0.250 0.750 0.500
7 Sc 0.750 0.250 0.500
8 Sc 0.750 0.750 0.500


The least stable of them is one.


one | ## SmThSc2 (PBE-GGA)

Data for SmThSc2 after structural relaxation.

D(E_F) ... 20.748 states/eV/cell

a = 3.479 Å, b = 3.479 Å, c = 32.746 Å
α = 90.00°, β = 90.00°, γ = 120.00°
Fractional coordinates of all 12 atoms:
1 Sm 0.000 0.000 0.000
2 Sm 0.333 0.667 0.667
3 Sm 0.667 0.333 0.333
4 Th 0.000 0.000 0.166
5 Th 0.333 0.667 0.833
6 Th 0.667 0.333 0.500
7 Sc 0.000 0.000 0.581
8 Sc 0.000 0.000 0.752
9 Sc 0.333 0.667 0.247
10 Sc 0.333 0.667 0.419
11 Sc 0.667 0.333 0.085
12 Sc 0.667 0.333 0.914


two | ## SmThSc2 (PBE-GGA)

Data for SmThSc2 after structural relaxation.

D(E_F) ... 4.205 states/eV/cell

a = 3.503 Å, b = 3.503 Å, c = 9.314 Å
α = 90.00°, β = 90.00°, γ = 90.00°
Fractional coordinates of all 4 atoms:
1 Sm 0.000 0.000 0.000
2 Th 0.000 0.000 0.500
3 Sc 0.500 0.500 0.257
4 Sc 0.500 0.500 0.743


The least stable of them is one.


one | ## SmThSc2 (PBE-GGA)

Data for SmThSc2 after structural relaxation.

D(E_F) ... 17.094 states/eV/cell

a = 3.474 Å, b = 3.474 Å, c = 32.677 Å
α = 90.00°, β = 90.00°, γ = 120.00°
Fractional coordinates of all 12 atoms:
1 Sm 0.000 0.000 0.000
2 Sm 0.333 0.667 0.667
3 Sm 0.667 0.333 0.333
4 Th 0.000 0.000 0.500
5 Th 0.333 0.667 0.167
6 Th 0.667 0.333 0.833
7 Sc 0.000 0.000 0.248
8 Sc 0.000 0.000 0.752
9 Sc 0.333 0.667 0.419
10 Sc 0.333 0.667 0.915
11 Sc 0.667 0.333 0.085
12 Sc 0.667 0.333 0.581


two | ## SmThSc2 (PBE-GGA)

Data for SmThSc2 after structural relaxation.

D(E_F) ... 27.505 states/eV/cell

a = 7.706 Å, b = 7.706 Å, c = 7.706 Å
α = 90.00°, β = 90.00°, γ = 90.00°
Fractional coordinates of all 16 atoms:
1 Sm 0.000 0.000 0.000
2 Sm 0.000 0.500 0.500
3 Sm 0.500 0.000 0.500
4 Sm 0.500 0.500 0.000
5 Th 0.000 0.000 0.500
6 Th 0.000 0.500 0.000
7 Th 0.500 0.000 0.000
8 Th 0.500 0.500 0.500
9 Sc 0.250 0.250 0.250
10 Sc 0.250 0.250 0.750
11 Sc 0.250 0.750 0.250
12 Sc 0.250 0.750 0.750
13 Sc 0.750 0.250 0.250
14 Sc 0.750 0.250 0.750
15 Sc 0.750 0.750 0.250
16 Sc 0.750 0.750 0.750


The least stable of them is two.


one | ## SmTh3Sc4 (PBE-GGA)

Data for SmTh3Sc4 after structural relaxation.

D(E_F) ... 29.423 states/eV/cell

a = 10.577 Å, b = 7.856 Å, c = 5.529 Å
α = 90.00°, β = 90.00°, γ = 90.00°
Fractional coordinates of all 16 atoms:
1 Sm 0.000 0.147 0.000
2 Sm 0.500 0.853 0.500
3 Th 0.000 0.859 0.493
4 Th 0.249 0.856 0.937
5 Th 0.251 0.144 0.437
6 Th 0.500 0.141 0.993
7 Th 0.749 0.144 0.437
8 Th 0.751 0.856 0.937
9 Sc 0.000 0.406 0.521
10 Sc 0.000 0.601 0.022
11 Sc 0.250 0.404 0.905
12 Sc 0.250 0.596 0.405
13 Sc 0.500 0.399 0.522
14 Sc 0.500 0.594 0.021
15 Sc 0.750 0.404 0.905
16 Sc 0.750 0.596 0.405


two | ## SmTh3Sc4 (PBE-GGA)

Data for SmTh3Sc4 after structural relaxation.

D(E_F) ... 8.633 states/eV/cell

a = 3.718 Å, b = 5.523 Å, c = 11.055 Å
α = 90.00°, β = 90.00°, γ = 90.00°
Fractional coordinates of all 8 atoms:
1 Sm 0.000 0.000 0.000
2 Th 0.000 0.000 0.500
3 Th 0.000 0.500 0.249
4 Th 0.000 0.500 0.751
5 Sc 0.500 0.000 0.254
6 Sc 0.500 0.000 0.746
7 Sc 0.500 0.500 0.000
8 Sc 0.500 0.500 0.500


The least stable of them is one.


one | ## SmTh2Sc3 (PBE-GGA)

Data for SmTh2Sc3 after structural relaxation.

D(E_F) ... 16.325 states/eV/cell

a = 8.974 Å, b = 8.974 Å, c = 11.192 Å
α = 90.00°, β = 90.00°, γ = 157.62°
Fractional coordinates of all 12 atoms:
1 Sm 0.221 0.779 0.750
2 Sm 0.779 0.221 0.250
3 Th 0.000 0.000 0.000
4 Th 0.000 0.000 0.500
5 Th 0.445 0.555 0.250
6 Th 0.555 0.445 0.750
7 Sc 0.109 0.891 0.250
8 Sc 0.334 0.666 0.510
9 Sc 0.334 0.666 0.990
10 Sc 0.666 0.334 0.010
11 Sc 0.666 0.334 0.490
12 Sc 0.891 0.109 0.750


two | ## SmTh2Sc3 (PBE-GGA)

Data for SmTh2Sc3 after structural relaxation.

D(E_F) ... 5.341 states/eV/cell

a = 3.499 Å, b = 3.499 Å, c = 13.984 Å
α = 90.00°, β = 90.00°, γ = 90.00°
Fractional coordinates of all 6 atoms:
1 Sm 0.000 0.000 0.000
2 Th 0.000 0.000 0.334
3 Th 0.000 0.000 0.666
4 Sc 0.500 0.500 0.172
5 Sc 0.500 0.500 0.500
6 Sc 0.500 0.500 0.828


The least stable of them is one.


one | ## Sm4ThSc (PBE-GGA)

Data for Sm4ThSc after structural relaxation.

D(E_F) ... 21.398 states/eV/cell

a = 11.370 Å, b = 5.800 Å, c = 6.876 Å
α = 90.00°, β = 122.66°, γ = 90.00°
Fractional coordinates of all 12 atoms:
1 Sm 0.154 0.000 0.494
2 Sm 0.192 0.000 0.034
3 Sm 0.308 0.500 0.966
4 Sm 0.346 0.500 0.506
5 Sm 0.654 0.500 0.494
6 Sm 0.692 0.500 0.034
7 Sm 0.808 0.000 0.966
8 Sm 0.846 0.000 0.506
9 Th 0.000 0.500 0.000
10 Th 0.500 0.000 0.000
11 Sc 0.000 0.500 0.500
12 Sc 0.500 0.000 0.500


two | ## Sm4ThSc (PBE-GGA)

Data for Sm4ThSc after structural relaxation.

D(E_F) ... 15.822 states/eV/cell

a = 18.568 Å, b = 3.574 Å, c = 6.068 Å
α = 90.00°, β = 108.81°, γ = 90.00°
Fractional coordinates of all 12 atoms:
1 Sm 0.161 0.000 0.497
2 Sm 0.163 0.500 0.005
3 Sm 0.337 0.000 0.995
4 Sm 0.339 0.500 0.503
5 Sm 0.661 0.500 0.497
6 Sm 0.663 0.000 0.005
7 Sm 0.837 0.500 0.995
8 Sm 0.839 0.000 0.503
9 Th 0.000 0.000 0.000
10 Th 0.500 0.500 0.000
11 Sc 0.000 0.500 0.500
12 Sc 0.500 0.000 0.500


The least stable of them is one.


one | ## SmThSc (PBE-GGA)

Data for SmThSc after structural relaxation.

D(E_F) ... 8.545 states/eV/cell

a = 3.538 Å, b = 3.538 Å, c = 14.464 Å
α = 90.00°, β = 90.00°, γ = 90.00°
Fractional coordinates of all 6 atoms:
1 Sm 0.000 0.000 0.000
2 Sm 0.500 0.500 0.500
3 Th 0.000 0.000 0.671
4 Th 0.500 0.500 0.171
5 Sc 0.000 0.000 0.325
6 Sc 0.500 0.500 0.825


two | ## SmThSc (PBE-GGA)

Data for SmThSc after structural relaxation.

D(E_F) ... 17.551 states/eV/cell

a = 6.488 Å, b = 6.488 Å, c = 9.527 Å
α = 90.00°, β = 90.00°, γ = 115.84°
Fractional coordinates of all 12 atoms:
1 Sm 0.127 0.873 0.912
2 Sm 0.373 0.627 0.412
3 Sm 0.627 0.373 0.588
4 Sm 0.873 0.127 0.088
5 Th 0.126 0.374 0.750
6 Th 0.374 0.126 0.250
7 Th 0.626 0.874 0.750
8 Th 0.874 0.626 0.250
9 Sc 0.123 0.877 0.579
10 Sc 0.377 0.623 0.079
11 Sc 0.623 0.377 0.921
12 Sc 0.877 0.123 0.421


three | ## SmThSc (PBE-GGA)

Data for SmThSc after structural relaxation.

D(E_F) ... 8.957 states/eV/cell

a = 4.484 Å, b = 4.484 Å, c = 9.143 Å
α = 90.00°, β = 90.00°, γ = 90.00°
Fractional coordinates of all 6 atoms:
1 Sm 0.250 0.750 0.000
2 Sm 0.750 0.250 0.000
3 Th 0.250 0.250 0.389
4 Th 0.750 0.750 0.611
5 Sc 0.250 0.250 0.732
6 Sc 0.750 0.750 0.268


four | ## SmThSc (PBE-GGA)

Data for SmThSc after structural relaxation.

D(E_F) ... 4.851 states/eV/cell

a = 3.523 Å, b = 3.523 Å, c = 8.418 Å
α = 90.00°, β = 90.00°, γ = 120.00°
Fractional coordinates of all 3 atoms:
1 Sm 0.000 0.000 0.000
2 Th 0.333 0.667 0.654
3 Sc 0.667 0.333 0.338


The least stable of them is three.


one | ## Sm2ThSc2 (PBE-GGA)

Data for Sm2ThSc2 after structural relaxation.

D(E_F) ... 13.437 states/eV/cell

a = 8.618 Å, b = 8.618 Å, c = 6.818 Å
α = 90.00°, β = 90.00°, γ = 144.25°
Fractional coordinates of all 10 atoms:
1 Sm 0.001 0.999 0.500
2 Sm 0.202 0.798 0.982
3 Sm 0.798 0.202 0.482
4 Sm 0.999 0.001 0.000
5 Th 0.393 0.607 0.741
6 Th 0.607 0.393 0.241
7 Sc 0.199 0.801 0.485
8 Sc 0.388 0.612 0.236
9 Sc 0.612 0.388 0.736
10 Sc 0.801 0.199 0.985


two | ## Sm2ThSc2 (PBE-GGA)

Data for Sm2ThSc2 after structural relaxation.

D(E_F) ... 13.101 states/eV/cell

a = 3.513 Å, b = 3.513 Å, c = 24.025 Å
α = 90.00°, β = 90.00°, γ = 90.00°
Fractional coordinates of all 10 atoms:
1 Sm 0.000 0.000 0.196
2 Sm 0.000 0.000 0.804
3 Sm 0.500 0.500 0.304
4 Sm 0.500 0.500 0.696
5 Th 0.000 0.000 0.000
6 Th 0.500 0.500 0.500
7 Sc 0.000 0.000 0.406
8 Sc 0.000 0.000 0.594
9 Sc 0.500 0.500 0.094
10 Sc 0.500 0.500 0.906


The least stable of them is one.